A plane-wave DFT calculation with PBE was carried out for a relaxed structure of TbErAs2O8.

Calculated values
**E**: -86.48 eV for the cell shown
**Formation energy without anion corrections**: -2.360 eV per atom
**Volume**: 143.7 Å³/cell

a = 5.040 Å, b = 5.040 Å, c = 6.685 Å
α = 112.15°, β = 112.15°, γ = 90.00°
Fractional positions:
Tb (0.750, 0.250, 0.500)
Er (0.000, 0.000, 0.000)
As (0.500, 0.500, 0.000)
As (0.250, 0.750, 0.500)
O (0.730, 0.831, 0.157)
O (0.427, 0.326, 0.157)
O (0.583, 0.682, 0.660)
O (0.077, 0.977, 0.660)
O (0.023, 0.417, 0.340)
O (0.318, 0.923, 0.340)
O (0.169, 0.573, 0.843)
O (0.674, 0.270, 0.843)


A plane-wave DFT calculation with PBE was carried out for a relaxed structure of NaLiHgBr2.

Calculated values
**E**: -11.70 eV for the cell shown
**Formation energy without anion corrections**: -0.963 eV per atom
**Volume**: 145.1 Å³/cell

a = 5.294 Å, b = 5.178 Å, c = 5.294 Å
α = 90.00°, β = 90.00°, γ = 90.00°
Fractional positions:
Na (0.500, 0.500, 0.500)
Hg (0.000, 0.500, 0.000)
Br (0.000, 0.000, 0.500)
Br (0.500, 0.000, 0.000)
Li (0.000, 0.000, 0.000)


A plane-wave DFT calculation with PBE was carried out for a relaxed structure of OsBr6.

Calculated values
**E**: -21.57 eV for the cell shown
**Formation energy without anion corrections**: -0.043 eV per atom
**Volume**: 213.2 Å³/cell

a = 5.709 Å, b = 6.567 Å, c = 6.567 Å
α = 120.00°, β = 90.00°, γ = 90.00°
Fractional positions:
Os (0.000, 0.000, 0.000)
Br (0.249, 0.000, 0.694)
Br (0.751, 0.000, 0.306)
Br (0.751, 0.694, 0.694)
Br (0.249, 0.694, 0.000)
Br (0.751, 0.306, 0.000)
Br (0.249, 0.306, 0.306)


A plane-wave DFT calculation with PBE was carried out for a relaxed structure of GdLuScRu.

Calculated values
**E**: -34.43 eV for the cell shown
**Volume**: 89.2 Å³/cell

a = 5.015 Å, b = 5.015 Å, c = 5.015 Å
α = 60.00°, β = 60.00°, γ = 60.00°
Fractional positions:
Gd (0.000, 0.000, 0.000)
Ru (0.250, 0.250, 0.250)
Lu (0.500, 0.500, 0.500)
Sc (0.750, 0.750, 0.750)


A plane-wave DFT calculation with PBE was carried out for a relaxed structure of Rb2PrOsO6.

Calculated values
**E**: -66.11 eV for the cell shown
**Formation energy without anion corrections**: -1.842 eV per atom
**Volume**: 159.4 Å³/cell

a = 6.087 Å, b = 6.087 Å, c = 6.086 Å
α = 120.01°, β = 120.01°, γ = 89.99°
Fractional positions:
Rb (0.750, 0.250, 0.500)
Rb (0.250, 0.750, 0.500)
Pr (0.500, 0.500, 0.000)
Os (0.000, 0.000, 0.000)
O (0.778, 0.778, 0.000)
O (0.778, 0.779, 0.556)
O (0.222, 0.222, 0.000)
O (0.778, 0.222, 0.000)
O (0.222, 0.222, 0.444)
O (0.222, 0.779, 0.000)


A plane-wave DFT calculation with PBE was carried out for a relaxed structure of LiPrMgGa2.

Calculated values
**E**: -31.39 eV for the cell shown
**Volume**: 220.5 Å³/cell

a = 6.020 Å, b = 5.796 Å, c = 6.318 Å
α = 90.00°, β = 90.00°, γ = 90.00°
Fractional positions:
Li (0.000, 0.000, 0.000)
Li (0.000, 0.500, 0.000)
Pr (0.257, 0.250, 0.500)
Pr (0.743, 0.750, 0.500)
Mg (0.568, 0.750, 0.000)
Mg (0.432, 0.250, 0.000)
Ga (0.777, 0.250, 0.708)
Ga (0.777, 0.250, 0.292)
Ga (0.223, 0.750, 0.708)
Ga (0.223, 0.750, 0.292)


Number 1: DOS at the Fermi energy 0.00 states/eV/cell. Number 2: DOS at the Fermi energy 0.00 states/eV/cell. Number 3: DOS at the Fermi energy 4.61 states/eV/cell. Number 4: DOS at the Fermi energy 4.80 states/eV/cell. Number 5: DOS at the Fermi energy 3.76 states/eV/cell. Number 6: DOS at the Fermi energy 8.31 states/eV/cell.